A relaxed Ta4TcSb crystal. Source: Alexandria via LeMat-Bulk, functional PBE.

Structure (POSCAR):
```
Ta4TcSb
1.0
0.0000 3.8443 3.8443
3.8443 0.0000 3.8443
3.8443 3.8443 0.0000
Ta Tc Sb
4 1 1
direct
0.1249 0.1249 0.1249
0.1249 0.1249 0.6253
0.1249 0.6253 0.1249
0.6253 0.1249 0.1249
0.5000 0.5000 0.5000
0.7500 0.7500 0.7500
```

Properties
DFT total energy in eV/atom: -9.92
Space group: F-43m
Uncorrected formation energy in eV per atom: 0.394
N(E_F) in states/eV/cell: 2.3